# 1
# NaAsSeN2

A relaxed NaAsSeN2 crystal (PBE, Alexandria).

Calculated values
Uncorrected formation energy, eV per atom: 1.9874
Crystal system: tetragonal

Lattice parameters (Å, degrees): 4.311 4.311 5.561 90.00 90.00 90.00
Each line ends with the local moment (μB).
Positions (direct):
1 N 0.500 0.000 0.000  1.61
2 N 0.000 0.500 0.000  1.61
3 Se 0.000 0.000 0.500  0.19
4 As 0.500 0.500 0.500  -0.40
5 Na 0.000 0.000 0.000  0.03



# 2
# NaAsSe2N

A relaxed NaAsSe2N crystal (PBE, Alexandria).

Calculated values
Uncorrected formation energy, eV per atom: 1.7911
Crystal system: tetragonal

Lattice parameters (Å, degrees): 5.152 5.301 5.152 90.00 90.00 90.00
Each line ends with the local moment (μB).
Positions (direct):
1 Se 0.000 0.000 0.500  0.20
2 Se 0.500 0.000 0.000  0.20
3 N 0.500 0.500 0.500  1.84
4 Na 0.000 0.000 0.000  0.00
5 As 0.000 0.500 0.000  -0.47



# 3
# NaSiAsN2

A relaxed NaSiAsN2 crystal (PBE, Alexandria).

Calculated values
Uncorrected formation energy, eV per atom: 0.8605
Crystal system: tetragonal

Lattice parameters (Å, degrees): 3.516 8.688 3.516 90.00 90.00 90.00
Positions (direct):
1 N 0.500 0.000 0.000
2 N 0.000 0.000 0.500
3 As 0.500 0.500 0.500
4 Si 0.000 0.000 0.000
5 Na 0.000 0.500 0.000



# 4
# NaSr2AsN

A relaxed NaSr2AsN crystal (PBE, Alexandria).

Calculated values
Uncorrected formation energy, eV per atom: -0.5483
Crystal system: tetragonal

Lattice parameters (Å, degrees): 5.114 5.114 4.678 90.00 90.00 90.00
Each line ends with the local moment (μB).
Positions (direct):
1 Na 0.000 0.000 0.500  0.00
2 Sr 0.500 0.000 0.000  0.01
3 Sr 0.000 0.500 0.000  0.01
4 As 0.500 0.500 0.500  0.08
5 N 0.000 0.000 0.000  0.36



# 5
# NaTe2AsN

A relaxed NaTe2AsN crystal (PBE, Alexandria).

Calculated values
Uncorrected formation energy, eV per atom: 0.3897
Crystal system: tetragonal

Lattice parameters (Å, degrees): 6.034 6.034 3.549 90.00 90.00 90.00
Positions (direct):
1 Te 0.500 0.000 0.000
2 Te 0.000 0.500 0.000
3 Na 0.500 0.500 0.500
4 As 0.000 0.000 0.000
5 N 0.000 0.000 0.500



# 6
# NaTeAsN2

A relaxed NaTeAsN2 crystal (PBE, Alexandria).

Calculated values
Uncorrected formation energy, eV per atom: 1.9356
Crystal system: tetragonal

Lattice parameters (Å, degrees): 4.392 4.392 6.204 90.00 90.00 90.00
Each line ends with the local moment (μB).
Positions (direct):
1 As 0.500 0.500 0.500  -0.37
2 Te 0.000 0.000 0.500  0.09
3 Na 0.000 0.000 0.000  0.02
4 N 0.500 0.000 0.000  1.61
5 N 0.000 0.500 0.000  1.61



# 7
# NaTeAsN2

A relaxed NaTeAsN2 crystal (PBE, Alexandria).

Calculated values
Uncorrected formation energy, eV per atom: 1.1103
Crystal system: tetragonal

Lattice parameters (Å, degrees): 4.080 4.080 5.690 90.00 90.00 90.00
Each line ends with the local moment (μB).
Positions (direct):
1 Te 0.000 0.000 0.500  0.31
2 As 0.000 0.000 0.000  -0.05
3 N 0.500 0.000 0.000  0.81
4 N 0.000 0.500 0.000  0.81
5 Na 0.500 0.500 0.500  0.00



# 8
# NaTe2AsN

A relaxed NaTe2AsN crystal (PBE, Alexandria).

Calculated values
Uncorrected formation energy, eV per atom: 1.3149
Crystal system: tetragonal

Lattice parameters (Å, degrees): 5.567 5.567 4.224 90.00 90.00 90.00
Each line ends with the local moment (μB).
Positions (direct):
1 Te 0.000 0.500 0.000  0.10
2 Te 0.500 0.000 0.000  0.10
3 N 0.000 0.000 0.500  1.60
4 Na 0.000 0.000 0.000  0.02
5 As 0.500 0.500 0.500  0.05



# 9
# NaThAsN

A relaxed NaThAsN crystal (PBE, Alexandria).

Calculated values
Uncorrected formation energy, eV per atom: -0.7670
Crystal system: tetragonal

Lattice parameters (Å, degrees): 3.299 3.299 7.875 102.09 102.09 90.00
Positions (direct):
1 As 0.940 0.940 0.881
2 N 0.155 0.155 0.310
3 Na 0.315 0.315 0.630
4 Th 0.602 0.602 0.204



# 10
# NaTlAsN2

A relaxed NaTlAsN2 crystal (PBE, Alexandria).

Calculated values
Uncorrected formation energy, eV per atom: 1.2199
Crystal system: tetragonal

Lattice parameters (Å, degrees): 4.019 5.606 4.019 90.00 90.00 90.00
Positions (direct):
1 Na 0.500 0.500 0.500
2 N 0.000 0.000 0.500
3 N 0.500 0.000 0.000
4 As 0.000 0.000 0.000
5 Tl 0.000 0.500 0.000



# 11
# Na2VAsN

A relaxed Na2VAsN crystal (PBE, Alexandria).

Calculated values
Uncorrected formation energy, eV per atom: 0.7698
Crystal system: tetragonal

Lattice parameters (Å, degrees): 4.594 4.278 4.594 90.00 90.00 90.00
Each line ends with the local moment (μB).
Positions (direct):
1 Na 0.500 0.000 0.000  0.01
2 Na 0.000 0.000 0.500  0.02
3 N 0.000 0.000 0.000  0.27
4 As 0.000 0.500 0.000  -0.05
5 V 0.500 0.500 0.500  3.08



# 12
# NaY2AsN

A relaxed NaY2AsN crystal (PBE, Alexandria).

Calculated values
Uncorrected formation energy, eV per atom: -0.4158
Crystal system: tetragonal

Lattice parameters (Å, degrees): 4.719 4.929 4.719 90.00 90.00 90.00
Positions (direct):
1 Na 0.500 0.500 0.500
2 As 0.000 0.500 0.000
3 N 0.000 0.000 0.000
4 Y 0.500 0.000 0.000
5 Y 0.000 0.000 0.500



# 13
# NbAsN3

A relaxed NbAsN3 crystal (PBE, Alexandria).

Calculated values
Uncorrected formation energy, eV per atom: 0.9032
Crystal system: cubic

Lattice parameters (Å, degrees): 4.067 4.067 4.067 90.00 90.00 90.00
Positions (direct):
1 As 0.500 0.500 0.500
2 N 0.500 0.000 0.000
3 N 0.000 0.000 0.500
4 N 0.000 0.500 0.000
5 Nb 0.000 0.000 0.000



# 14
# NbAs2N

A relaxed NbAs2N crystal (PBE, Alexandria).

Calculated values
Uncorrected formation energy, eV per atom: 0.5477
Crystal system: tetragonal

Lattice parameters (Å, degrees): 5.819 5.819 5.686 59.22 59.22 90.00
Positions (direct):
1 As 0.875 0.800 0.750
2 As 0.550 0.125 0.250
3 As 0.200 0.625 0.250
4 As 0.375 0.450 0.750
5 Nb 0.750 0.250 0.500
6 Nb 0.000 0.000 0.000
7 N 0.500 0.500 0.000
8 N 0.250 0.750 0.500



# 15
# Nb2AsN

A relaxed Nb2AsN crystal (PBE, Alexandria).

Calculated values
Uncorrected formation energy, eV per atom: -0.1133
Crystal system: trigonal

Lattice parameters (Å, degrees): 4.252 4.252 6.148 69.77 69.77 60.00
Positions (direct):
1 N 0.000 0.000 0.000
2 Nb 0.888 0.888 0.335
3 Nb 0.112 0.112 0.665
4 As 0.500 0.500 0.500



# 16
# NbAsN3

A relaxed NbAsN3 crystal (PBE, Alexandria).

Calculated values
Uncorrected formation energy, eV per atom: 0.9583
Crystal system: cubic

Lattice parameters (Å, degrees): 3.706 3.706 3.706 90.00 90.00 90.00
Positions (direct):
1 Nb 0.500 0.500 0.500
2 N 0.000 0.000 0.500
3 N 0.500 0.000 0.000
4 N 0.000 0.500 0.000
5 As 0.000 0.000 0.000



# 17
# Nb2AsN

A relaxed Nb2AsN crystal (PBE, Alexandria).

Calculated values
Uncorrected formation energy, eV per atom: 0.0099
Crystal system: cubic

Lattice parameters (Å, degrees): 4.303 4.303 4.303 60.00 60.00 60.00
Positions (direct):
1 N 0.000 0.000 0.000
2 As 0.500 0.500 0.500
3 Nb 0.750 0.750 0.750
4 Nb 0.250 0.250 0.250



# 18
# NbAsN

A relaxed NbAsN crystal (PBE, Alexandria).

Calculated values
Uncorrected formation energy, eV per atom: -0.1246
Crystal system: orthorhombic

Lattice parameters (Å, degrees): 6.502 6.502 6.849 117.53 117.53 91.51
Positions (direct):
1 Nb 0.970 0.470 0.500
2 Nb 0.280 0.280 0.000
3 Nb 0.530 0.030 0.500
4 Nb 0.720 0.720 0.000
5 N 0.625 0.375 0.250
6 N 0.625 0.875 0.250
7 N 0.625 0.375 0.750
8 N 0.125 0.375 0.750
9 As 0.129 0.629 0.259
10 As 0.371 0.871 0.741
11 As 0.879 0.879 0.759
12 As 0.121 0.121 0.241



# 19
# Nb2AsN

A relaxed Nb2AsN crystal (PBE, Alexandria).

Calculated values
Uncorrected formation energy, eV per atom: -0.2888
Crystal system: tetragonal

Lattice parameters (Å, degrees): 5.193 5.193 6.555 66.66 66.66 90.00
Positions (direct):
1 N 0.250 0.750 0.500
2 N 0.500 0.500 0.000
3 Nb 0.535 0.125 0.250
4 Nb 0.375 0.465 0.750
5 Nb 0.875 0.785 0.750
6 Nb 0.215 0.625 0.250
7 As 0.000 0.000 0.000
8 As 0.750 0.250 0.500



# 20
# NbAsN2O

A relaxed NbAsN2O crystal (PBE, Alexandria).

Calculated values
Uncorrected formation energy, eV per atom: 0.4592
Crystal system: tetragonal

Lattice parameters (Å, degrees): 3.812 3.812 3.686 90.00 90.00 90.00
Each line ends with the local moment (μB).
Positions (direct):
1 As 0.000 0.000 0.000  0.04
2 Nb 0.500 0.500 0.500  1.51
3 O 0.000 0.000 0.500  -0.01
4 N 0.000 0.500 0.000  -0.07
5 N 0.500 0.000 0.000  -0.07



# 21
# NbAsNO2

A relaxed NbAsNO2 crystal (PBE, Alexandria).

Calculated values
Uncorrected formation energy, eV per atom: 0.0184
Crystal system: tetragonal

Lattice parameters (Å, degrees): 3.781 3.781 3.962 90.00 90.00 90.00
Each line ends with the local moment (μB).
Positions (direct):
1 Nb 0.500 0.500 0.500  2.02
2 N 0.000 0.000 0.500  -0.09
3 O 0.000 0.500 0.000  -0.01
4 O 0.500 0.000 0.000  -0.01
5 As 0.000 0.000 0.000  0.01



# 22
# NbAsNO2

A relaxed NbAsNO2 crystal (PBE, Alexandria).

Calculated values
Uncorrected formation energy, eV per atom: -0.6638
Crystal system: tetragonal

Lattice parameters (Å, degrees): 3.948 3.948 4.257 90.00 90.00 90.00
Each line ends with the local moment (μB).
Positions (direct):
1 As 0.500 0.500 0.500  0.15
2 O 0.500 0.000 0.000  0.01
3 O 0.000 0.500 0.000  0.01
4 N 0.000 0.000 0.500  0.00
5 Nb 0.000 0.000 0.000  0.01



# 23
# NbAsN2O

A relaxed NbAsN2O crystal (PBE, Alexandria).

Calculated values
Uncorrected formation energy, eV per atom: 0.0717
Crystal system: tetragonal

Lattice parameters (Å, degrees): 4.166 4.166 3.867 90.00 90.00 90.00
Positions (direct):
1 N 0.500 0.000 0.000
2 N 0.000 0.500 0.000
3 O 0.000 0.000 0.500
4 As 0.500 0.500 0.500
5 Nb 0.000 0.000 0.000



# 24
# PaNbAsN

A relaxed PaNbAsN crystal (PBE, Alexandria).

Calculated values
Uncorrected formation energy, eV per atom: -1.2194
Crystal system: tetragonal

Lattice parameters (Å, degrees): 3.943 3.943 9.008 90.00 90.00 90.00
Positions (direct):
1 N 0.000 0.000 0.000
2 N 0.500 0.500 0.000
3 Pa 0.000 0.500 0.868
4 Pa 0.500 0.000 0.132
5 Nb 0.500 0.500 0.500
6 Nb 0.000 0.000 0.500
7 As 0.500 0.000 0.704
8 As 0.000 0.500 0.296



# 25
# Pa2NbAs2N2

A relaxed Pa2NbAs2N2 crystal (PBE, Alexandria).

Calculated values
Uncorrected formation energy, eV per atom: -1.2678
Crystal system: monoclinic

Lattice parameters (Å, degrees): 3.844 6.058 6.337 66.23 72.34 71.50
Positions (direct):
1 Nb 0.000 0.000 0.000
2 As 0.564 0.199 0.673
3 As 0.436 0.801 0.327
4 N 0.788 0.335 0.088
5 N 0.212 0.665 0.912
6 Pa 0.195 0.347 0.263
7 Pa 0.805 0.653 0.737



# 26
# NbAsSN2

A relaxed NbAsSN2 crystal (PBE, Alexandria).

Calculated values
Uncorrected formation energy, eV per atom: 1.1205
Crystal system: tetragonal

Lattice parameters (Å, degrees): 3.788 3.788 4.615 90.00 90.00 90.00
Positions (direct):
1 As 0.000 0.000 0.000
2 N 0.000 0.500 0.000
3 N 0.500 0.000 0.000
4 S 0.000 0.000 0.500
5 Nb 0.500 0.500 0.500



# 27
# Sm2NbAsN5

A relaxed Sm2NbAsN5 crystal (PBE, Alexandria).

Calculated values
Uncorrected formation energy, eV per atom: -0.7839
Crystal system: orthorhombic

Lattice parameters (Å, degrees): 3.292 7.415 10.075 90.00 90.00 102.82
Positions (direct):
1 As 0.549 0.098 0.948
2 As 0.451 0.902 0.448
3 N 0.504 0.008 0.286
4 N 0.350 0.700 0.002
5 N 0.712 0.424 0.158
6 N 0.326 0.651 0.379
7 N 0.957 0.914 0.545
8 N 0.674 0.349 0.879
9 N 0.496 0.992 0.786
10 N 0.288 0.576 0.658
11 N 0.650 0.300 0.502
12 N 0.043 0.086 0.045
13 Sm 0.114 0.228 0.687
14 Sm 0.868 0.736 0.801
15 Sm 0.886 0.772 0.187
16 Sm 0.132 0.264 0.301
17 Nb 0.780 0.560 0.518
18 Nb 0.220 0.440 0.018